First-principles (GGA-PBE) data for a geometry-optimized ZnTcS3 structure, as listed in Alexandria via LeMat-Bulk.

Cell lengths 4.6327, 4.6327, 4.6327 Å; angles 90.00, 90.00, 90.00 degrees
Positions (direct):
S1 0.0000 0.5000 0.0000
S2 0.0000 0.0000 0.5000
S3 0.5000 0.0000 0.0000
Zn1 0.0000 0.0000 0.0000
Tc1 0.5000 0.5000 0.5000

Computed properties:
E above lowest polymorph ... 648 meV per atom
DOS(E_F) ... 4.02 states/eV per cell
Energy ... -3.866 eV per atom
Crystal system ... cubic
Total moment ... 3.7 μB per formula unit